The following is a DFT calculation (PBE-GGA) of crystalline Pm3As4Rh4 at its relaxed geometry.

Output
magnetic moment	0.00	μB per cell
energy above the lowest structure with this stoichiometry	0.000	eV/atom
calculated formation energy	-1.04	eV per atom
density of states at the Fermi level	5.2	states/eV/f.u.

abc: 12.9580 12.9580 12.9580
angles: 162.08 161.15 26.12
Closest atoms and distances in Å follow each position.
Atoms (fractional coordinates):
Pm 0.0000 0.0000 0.0000  4 Rh 3.16, 8 As 3.20
Pm 0.3534 0.8534 0.5000  6 As 3.14-3.15, 8 Rh 3.19-3.35
Pm 0.6466 0.1466 0.5000  6 As 3.14-3.15, 8 Rh 3.19-3.35
As 0.1922 0.6922 0.5000  5 Rh 2.43-2.59
As 0.4487 0.4487 0.0000  2 Rh 2.40, 1 As 2.59
As 0.5513 0.5513 0.0000  2 Rh 2.40, 1 As 2.59
As 0.8078 0.3078 0.5000  5 Rh 2.43-2.59
Rh 0.0961 0.5961 0.5000  3 As 2.40-2.43
Rh 0.2491 0.2491 0.0000  4 As 2.48-2.59
Rh 0.7509 0.7509 0.0000  4 As 2.48-2.59
Rh 0.9039 0.4039 0.5000  3 As 2.40-2.43